Entry from Alexandria: Cs2PrOs3O12 after structural relaxation (PBE).

Summary:
Its density of states at the Fermi level is 9.51 states/eV/cell. The calculation puts the volume at 16.9 A^3/atom. For the total energy, the calculation gives -7.017 eV/atom. For the size of the total moment, the calculation gives 2.138 μB/f.u.

The structure in POSCAR format:
```
Cs2PrOs3O12
1.0
7.713 0.219 0.155
4.000 6.599 0.155
4.000 2.328 6.177
Os O Pr Cs
3 12 1 2
Cartesian
2.000 3.300 0.078 Os
2.000 1.164 3.088 Os
3.857 0.110 0.078 Os
12.245 4.815 5.866 O
7.188 4.184 5.786 O
12.245 7.127 2.605 O
8.525 4.962 0.702 O
3.468 2.019 3.882 O
9.500 2.871 2.036 O
10.234 8.270 5.866 O
8.525 2.303 4.451 O
5.479 0.877 0.622 O
3.468 4.332 0.622 O
6.212 6.276 4.451 O
7.188 6.843 2.036 O
0.000 0.000 0.000 Pr
6.056 3.525 2.500 Cs
9.657 5.621 3.987 Cs
```